A relaxed structure of BaMgSbOs2. Source: the Alexandria database, functional GGA-PBEsol.

The structure in CIF format:
```
data_BaMgSbOs2
_cell_length_a 4.918
_cell_length_b 4.918
_cell_length_c 5.895
_cell_angle_alpha 90.00
_cell_angle_beta 90.00
_cell_angle_gamma 90.00
_symmetry_space_group_name_H-M 'P 1'
_symmetry_Int_Tables_number 1
loop_
_symmetry_equiv_pos_as_xyz
'x,y,z'
loop_
_atom_site_label
_atom_site_type_symbol
_atom_site_fract_x
_atom_site_fract_y
_atom_site_fract_z
Ba1 Ba 0.000 0.000 0.500
Os1 Os 0.000 0.500 0.000
Os2 Os 0.500 0.000 0.000
Mg1 Mg 0.500 0.500 0.500
Sb1 Sb 0.000 0.000 0.000
```

Calculated values
As for the total magnetization: 0.00 μB per formula unit. The calculation puts the uncorrected formation energy at 1.57 eV per atom.

A relaxed structure of BaMg2P2. Source: the Alexandria database, functional GGA-PBEsol.

The structure in CIF format:
```
data_BaMg2P2
_cell_length_a 4.351
_cell_length_b 4.351
_cell_length_c 7.529
_cell_angle_alpha 90.00
_cell_angle_beta 90.00
_cell_angle_gamma 120.00
_symmetry_space_group_name_H-M 'P 1'
_symmetry_Int_Tables_number 1
loop_
_symmetry_equiv_pos_as_xyz
'x,y,z'
loop_
_atom_site_label
_atom_site_type_symbol
_atom_site_fract_x
_atom_site_fract_y
_atom_site_fract_z
Mg1 Mg 0.333 0.667 0.624
Mg2 Mg 0.667 0.333 0.376
P1 P 0.667 0.333 0.725
P2 P 0.333 0.667 0.275
Ba1 Ba 0.000 0.000 0.000
```

Calculated values
As for the total magnetization: 0.00 μB per formula unit. The calculation puts the formation enthalpy at 0 K at -924 meV per atom.

A relaxed structure of Ba2MgP. Source: the Alexandria database, functional GGA-PBEsol.

The structure in CIF format:
```
data_Ba2MgP
_cell_length_a 3.833
_cell_length_b 3.833
_cell_length_c 9.405
_cell_angle_alpha 90.00
_cell_angle_beta 90.00
_cell_angle_gamma 94.40
_symmetry_space_group_name_H-M 'P 1'
_symmetry_Int_Tables_number 1
loop_
_symmetry_equiv_pos_as_xyz
'x,y,z'
loop_
_atom_site_label
_atom_site_type_symbol
_atom_site_fract_x
_atom_site_fract_y
_atom_site_fract_z
Ba1 Ba 0.000 0.000 0.098
Ba2 Ba 0.500 0.500 0.673
P1 P 0.500 0.500 0.306
Mg1 Mg 0.000 0.000 0.422
```

Calculated values
As for the total magnetization: 0.80 μB per formula unit. The calculation puts the formation enthalpy at 0 K at -273 meV per atom.

A relaxed structure of BaMg2P. Source: the Alexandria database, functional GGA-PBEsol.

The structure in CIF format:
```
data_BaMg2P
_cell_length_a 4.340
_cell_length_b 4.321
_cell_length_c 7.469
_cell_angle_alpha 107.01
_cell_angle_beta 90.00
_cell_angle_gamma 120.15
_symmetry_space_group_name_H-M 'P 1'
_symmetry_Int_Tables_number 1
loop_
_symmetry_equiv_pos_as_xyz
'x,y,z'
loop_
_atom_site_label
_atom_site_type_symbol
_atom_site_fract_x
_atom_site_fract_y
_atom_site_fract_z
Mg1 Mg 0.026 0.052 0.076
Mg2 Mg 0.770 0.540 0.311
Ba1 Ba 0.236 0.472 0.706
P1 P 0.468 0.936 0.407
```

Calculated values
As for the total magnetization: 0.00 μB per formula unit. The calculation puts the formation enthalpy at 0 K at -359 meV per atom.

A relaxed structure of Ba2MgP. Source: the Alexandria database, functional GGA-PBEsol.

The structure in CIF format:
```
data_Ba2MgP
_cell_length_a 4.316
_cell_length_b 4.316
_cell_length_c 6.807
_cell_angle_alpha 90.00
_cell_angle_beta 90.00
_cell_angle_gamma 90.00
_symmetry_space_group_name_H-M 'P 1'
_symmetry_Int_Tables_number 1
loop_
_symmetry_equiv_pos_as_xyz
'x,y,z'
loop_
_atom_site_label
_atom_site_type_symbol
_atom_site_fract_x
_atom_site_fract_y
_atom_site_fract_z
Ba1 Ba 0.500 0.500 0.280
Ba2 Ba 0.000 0.000 0.952
P1 P 0.500 0.500 0.757
Mg1 Mg 0.000 0.000 0.511
```

Calculated values
As for the total magnetization: 0.00 μB per formula unit. The calculation puts the formation enthalpy at 0 K at -193 meV per atom.

A relaxed structure of BaMgPS2. Source: the Alexandria database, functional GGA-PBEsol.

The structure in CIF format:
```
data_BaMgPS2
_cell_length_a 5.519
_cell_length_b 5.567
_cell_length_c 5.567
_cell_angle_alpha 90.00
_cell_angle_beta 90.00
_cell_angle_gamma 90.00
_symmetry_space_group_name_H-M 'P 1'
_symmetry_Int_Tables_number 1
loop_
_symmetry_equiv_pos_as_xyz
'x,y,z'
loop_
_atom_site_label
_atom_site_type_symbol
_atom_site_fract_x
_atom_site_fract_y
_atom_site_fract_z
P1 P 0.500 0.000 0.000
S1 S 0.000 0.000 0.500
S2 S 0.000 0.500 0.000
Ba1 Ba 0.000 0.000 0.000
Mg1 Mg 0.500 0.500 0.500
```

Calculated values
As for the total magnetization: 0.00 μB per formula unit. The calculation puts the uncorrected formation energy at 0.63 eV per atom.

A relaxed structure of BaMgPb. Source: the Alexandria database, functional GGA-PBEsol.

The structure in CIF format:
```
data_BaMgPb
_cell_length_a 4.946
_cell_length_b 4.946
_cell_length_c 8.143
_cell_angle_alpha 90.00
_cell_angle_beta 90.00
_cell_angle_gamma 90.00
_symmetry_space_group_name_H-M 'P 1'
_symmetry_Int_Tables_number 1
loop_
_symmetry_equiv_pos_as_xyz
'x,y,z'
loop_
_atom_site_label
_atom_site_type_symbol
_atom_site_fract_x
_atom_site_fract_y
_atom_site_fract_z
Pb1 Pb 0.000 0.500 0.218
Pb2 Pb 0.500 0.000 0.782
Mg1 Mg 0.000 0.000 0.000
Mg2 Mg 0.500 0.500 0.000
Ba1 Ba 0.000 0.500 0.670
Ba2 Ba 0.500 0.000 0.330
```

Calculated values
As for the total magnetization: 0.00 μB per formula unit. The calculation puts the formation enthalpy at 0 K at -522 meV per atom.

A relaxed structure of BaMg2Pb2. Source: the Alexandria database, functional GGA-PBEsol.

The structure in CIF format:
```
data_BaMg2Pb2
_cell_length_a 4.866
_cell_length_b 4.866
_cell_length_c 7.299
_cell_angle_alpha 109.47
_cell_angle_beta 109.47
_cell_angle_gamma 90.00
_symmetry_space_group_name_H-M 'P 1'
_symmetry_Int_Tables_number 1
loop_
_symmetry_equiv_pos_as_xyz
'x,y,z'
loop_
_atom_site_label
_atom_site_type_symbol
_atom_site_fract_x
_atom_site_fract_y
_atom_site_fract_z
Pb1 Pb 0.619 0.619 0.238
Pb2 Pb 0.381 0.381 0.762
Ba1 Ba 0.000 0.000 0.000
Mg1 Mg 0.250 0.750 0.500
Mg2 Mg 0.750 0.250 0.500
```

Calculated values
As for the total magnetization: 0.00 μB per formula unit. The calculation puts the formation enthalpy at 0 K at -390 meV per atom.

A relaxed structure of BaMg2Pb2. Source: the Alexandria database, functional GGA-PBEsol.

The structure in CIF format:
```
data_BaMg2Pb2
_cell_length_a 4.934
_cell_length_b 4.934
_cell_length_c 12.280
_cell_angle_alpha 90.00
_cell_angle_beta 90.00
_cell_angle_gamma 90.00
_symmetry_space_group_name_H-M 'P 1'
_symmetry_Int_Tables_number 1
loop_
_symmetry_equiv_pos_as_xyz
'x,y,z'
loop_
_atom_site_label
_atom_site_type_symbol
_atom_site_fract_x
_atom_site_fract_y
_atom_site_fract_z
Pb1 Pb 0.500 0.000 0.866
Pb2 Pb 0.500 0.500 0.500
Pb3 Pb 0.000 0.000 0.500
Pb4 Pb 0.000 0.500 0.134
Mg1 Mg 0.500 0.000 0.636
Mg2 Mg 0.000 0.500 0.364
Mg3 Mg 0.500 0.500 0.000
Mg4 Mg 0.000 0.000 0.000
Ba1 Ba 0.500 0.000 0.250
Ba2 Ba 0.000 0.500 0.750
```

Calculated values
As for the total magnetization: 0.00 μB per formula unit. The calculation puts the formation enthalpy at 0 K at -410 meV per atom.

A relaxed structure of BaMgPb. Source: the Alexandria database, functional GGA-PBEsol.

The structure in CIF format:
```
data_BaMgPb
_cell_length_a 3.876
_cell_length_b 3.876
_cell_length_c 7.091
_cell_angle_alpha 105.86
_cell_angle_beta 105.86
_cell_angle_gamma 90.00
_symmetry_space_group_name_H-M 'P 1'
_symmetry_Int_Tables_number 1
loop_
_symmetry_equiv_pos_as_xyz
'x,y,z'
loop_
_atom_site_label
_atom_site_type_symbol
_atom_site_fract_x
_atom_site_fract_y
_atom_site_fract_z
Ba1 Ba 0.002 0.002 0.005
Pb1 Pb 0.692 0.692 0.383
Mg1 Mg 0.306 0.306 0.612
```

Calculated values
As for the total magnetization: 0.00 μB per formula unit. The calculation puts the formation enthalpy at 0 K at -258 meV per atom.

A relaxed structure of BaMgPb2. Source: the Alexandria database, functional GGA-PBEsol.

The structure in CIF format:
```
data_BaMgPb2
_cell_length_a 4.641
_cell_length_b 5.247
_cell_length_c 6.385
_cell_angle_alpha 107.02
_cell_angle_beta 90.00
_cell_angle_gamma 116.25
_symmetry_space_group_name_H-M 'P 1'
_symmetry_Int_Tables_number 1
loop_
_symmetry_equiv_pos_as_xyz
'x,y,z'
loop_
_atom_site_label
_atom_site_type_symbol
_atom_site_fract_x
_atom_site_fract_y
_atom_site_fract_z
Ba1 Ba 0.000 0.000 0.500
Mg1 Mg 0.500 0.000 0.000
Pb1 Pb 0.761 0.523 0.833
Pb2 Pb 0.239 0.477 0.167
```

Calculated values
As for the total magnetization: 0.00 μB per formula unit. The calculation puts the formation enthalpy at 0 K at -356 meV per atom.

A relaxed structure of BaMg2Pd2. Source: the Alexandria database, functional GGA-PBEsol.

The structure in CIF format:
```
data_BaMg2Pd2
_cell_length_a 4.397
_cell_length_b 4.397
_cell_length_c 6.681
_cell_angle_alpha 109.21
_cell_angle_beta 109.21
_cell_angle_gamma 90.00
_symmetry_space_group_name_H-M 'P 1'
_symmetry_Int_Tables_number 1
loop_
_symmetry_equiv_pos_as_xyz
'x,y,z'
loop_
_atom_site_label
_atom_site_type_symbol
_atom_site_fract_x
_atom_site_fract_y
_atom_site_fract_z
Ba1 Ba 0.000 0.000 0.000
Mg1 Mg 0.750 0.250 0.500
Mg2 Mg 0.250 0.750 0.500
Pd1 Pd 0.616 0.616 0.231
Pd2 Pd 0.384 0.384 0.769
```

Calculated values
As for the total magnetization: 0.00 μB per formula unit. The calculation puts the formation enthalpy at 0 K at -510 meV per atom.

A relaxed structure of BaMg3Pd. Source: the Alexandria database, functional GGA-PBEsol.

The structure in CIF format:
```
data_BaMg3Pd
_cell_length_a 5.135
_cell_length_b 5.135
_cell_length_c 5.135
_cell_angle_alpha 90.00
_cell_angle_beta 90.00
_cell_angle_gamma 90.00
_symmetry_space_group_name_H-M 'P 1'
_symmetry_Int_Tables_number 1
loop_
_symmetry_equiv_pos_as_xyz
'x,y,z'
loop_
_atom_site_label
_atom_site_type_symbol
_atom_site_fract_x
_atom_site_fract_y
_atom_site_fract_z
Ba1 Ba 0.500 0.500 0.500
Pd1 Pd 0.000 0.000 0.000
Mg1 Mg 0.000 0.500 0.000
Mg2 Mg 0.000 0.000 0.500
Mg3 Mg 0.500 0.000 0.000
```

Calculated values
As for the total magnetization: 0.00 μB per formula unit. The calculation puts the formation enthalpy at 0 K at -301 meV per atom.

A relaxed structure of Ba2MgPd2. Source: the Alexandria database, functional GGA-PBEsol.

The structure in CIF format:
```
data_Ba2MgPd2
_cell_length_a 3.876
_cell_length_b 3.876
_cell_length_c 10.698
_cell_angle_alpha 100.44
_cell_angle_beta 100.44
_cell_angle_gamma 90.00
_symmetry_space_group_name_H-M 'P 1'
_symmetry_Int_Tables_number 1
loop_
_symmetry_equiv_pos_as_xyz
'x,y,z'
loop_
_atom_site_label
_atom_site_type_symbol
_atom_site_fract_x
_atom_site_fract_y
_atom_site_fract_z
Pd1 Pd 0.250 0.750 0.500
Pd2 Pd 0.750 0.250 0.500
Ba1 Ba 0.368 0.368 0.735
Ba2 Ba 0.632 0.632 0.265
Mg1 Mg 0.000 0.000 0.000
```

Calculated values
As for the total magnetization: 0.00 μB per formula unit. The calculation puts the formation enthalpy at 0 K at -117 meV per atom.

A relaxed structure of BaMg2PdPt. Source: the Alexandria database, functional GGA-PBEsol.

The structure in CIF format:
```
data_BaMg2PdPt
_cell_length_a 5.050
_cell_length_b 5.795
_cell_length_c 5.795
_cell_angle_alpha 90.00
_cell_angle_beta 90.00
_cell_angle_gamma 90.00
_symmetry_space_group_name_H-M 'P 1'
_symmetry_Int_Tables_number 1
loop_
_symmetry_equiv_pos_as_xyz
'x,y,z'
loop_
_atom_site_label
_atom_site_type_symbol
_atom_site_fract_x
_atom_site_fract_y
_atom_site_fract_z
Mg1 Mg 0.000 0.500 0.000
Mg2 Mg 0.000 0.000 0.500
Pt1 Pt 0.500 0.500 0.500
Ba1 Ba 0.000 0.000 0.000
Pd1 Pd 0.500 0.000 0.000
```

Calculated values
As for the total magnetization: 0.00 μB per formula unit. The calculation puts the formation enthalpy at 0 K at 1652 meV per atom.